Material: CeCuBi2
Method: DFT, PBE
State: relaxed

The calculation puts the total magnetization at 1.31 μB per formula unit. For the raw total energy, the calculation gives -4.240 eV/atom.

Unit cell a=3.4724 b=3.4724 c=31.8232 alpha=90.00 beta=90.00 gamma=120.00
Atoms (fractional coordinates):
Ce: 0.0000 0.0000 0.0000
Ce: 0.3333 0.6667 0.6667
Ce: 0.6667 0.3333 0.3333
Cu: 0.0000 0.0000 0.5000
Cu: 0.3333 0.6667 0.1667
Cu: 0.6667 0.3333 0.8333
Bi: 0.0000 0.0000 0.1028
Bi: 0.0000 0.0000 0.8972
Bi: 0.3333 0.6667 0.5639
Bi: 0.3333 0.6667 0.7694
Bi: 0.6667 0.3333 0.2306
Bi: 0.6667 0.3333 0.4361

***

Material: Ce4Cu3Bi8
Method: DFT, PBE
State: relaxed

The calculation puts the total magnetization at 2.21 μB per formula unit. For the raw total energy, the calculation gives -4.955 eV/atom.

Unit cell a=4.5908 b=4.5908 c=19.2610 alpha=90.00 beta=90.00 gamma=90.00
Atoms (fractional coordinates):
Ce: 0.0000 0.5000 0.1118
Ce: 0.0000 0.5000 0.6181
Ce: 0.5000 0.0000 0.3819
Ce: 0.5000 0.0000 0.8882
Cu: 0.0000 0.0000 0.0000
Cu: 0.0000 0.0000 0.5000
Cu: 0.5000 0.5000 0.5000
Bi: 0.0000 0.0000 0.2464
Bi: 0.0000 0.0000 0.7536
Bi: 0.0000 0.5000 0.4162
Bi: 0.0000 0.5000 0.9239
Bi: 0.5000 0.0000 0.0761
Bi: 0.5000 0.0000 0.5838
Bi: 0.5000 0.5000 0.2468
Bi: 0.5000 0.5000 0.7532